## SnH2Br6 (PBE)

Data for an optimized crystal structure of SnH2Br6.

Cell lengths 12.1731, 12.1731, 5.9493 Å; angles 75.10, 75.10, 66.09 degrees
Last column: nearest neighbours and their distance in Å.
Fractional coordinates of all 18 atoms:
1 Sn 0.7580 0.2420 0.2500  4 Br 2.48
2 Sn 0.2420 0.7580 0.7500  4 Br 2.48
3 H 0.2794 0.2344 0.6997  1 Br 1.46
4 H 0.7656 0.7206 0.8003  1 Br 1.46
5 H 0.7206 0.7656 0.3003  1 Br 1.46
6 H 0.2344 0.2794 0.1997  1 Br 1.46
7 Br 0.1640 0.3495 0.3892  1 H 1.46
8 Br 0.6505 0.8360 0.1108  1 H 1.46
9 Br 0.8360 0.6505 0.6108  1 H 1.46
10 Br 0.3495 0.1640 0.8892  1 H 1.46
11 Br 0.2779 0.5751 0.5893  1 Sn 2.48
12 Br 0.4249 0.7221 0.9107  1 Sn 2.48
13 Br 0.7221 0.4249 0.4107  1 Sn 2.48
14 Br 0.5751 0.2779 0.0893  1 Sn 2.48
15 Br 0.2085 0.9425 0.4384  1 Sn 2.48
16 Br 0.0575 0.7915 0.0616  1 Sn 2.48
17 Br 0.7915 0.0575 0.5616  1 Sn 2.48
18 Br 0.9425 0.2085 0.9384  1 Sn 2.48

Values from the calculation:
Calculated total energy in eV per cell: -50.0
Mass density in g/cm³: 2.60
Space group: C2/c (15)